# KIn3Rh

A relaxed structure of KIn3Rh (PBEsol, the Alexandria database).

abc: 5.1346 5.1346 5.1346
angles: 90.00 90.00 90.00
Closest atoms and distances in Å follow each position.
Atoms (fractional coordinates):
K (0.5000, 0.5000, 0.5000)  12 In 3.63
Rh (0.0000, 0.0000, 0.0000)  6 In 2.57
In (0.0000, 0.5000, 0.0000)  2 Rh 2.57
In (0.0000, 0.0000, 0.5000)  2 Rh 2.57
In (0.5000, 0.0000, 0.0000)  2 Rh 2.57

Output
ΔE_f (eV/f.u.): -1.1
Mass density (g/cm³): 5.967
E (eV per atom): -3.855